This record from Alexandria via LeMat-Bulk describes LaMgMnGe2 after structural relaxation. The functional is PBE.

The structure belongs to space group I-4m2 (No. 119); the cell edges are 4.275, 4.275 and 11.310 Å and the angles 90.00°, 90.00° and 90.00°. The asymmetric unit holds La at (0.000, 0.000, 0.000), Mg at (0.000, 0.500, 0.250), Mn at (0.000, 0.500, 0.750) and Ge at (0.000, 0.000, 0.385).

Its raw total energy is -54.8 eV/cell. The total moment is 3.360 μB/f.u.